Computed, not measured: crystalline Hf2Ge2Rh at its relaxed geometry at the PBE-GGA level of DFT.

Unit cell a=6.455 b=6.455 c=4.170 alpha=90.00 beta=90.00 gamma=90.00
Space group P4/mbm (No. 127)
Symmetry-distinct sites (fractional):
Hf1 0.168 0.332 0.000
Ge1 0.139 0.639 0.500
Rh1 0.000 0.000 0.500

Output
density of states at the Fermi level: 0.45 states/eV per atom
ΔH_f (0 K): -762.5 meV/atom